# HfScGa2Pd4 PBE optimized geometry
data_HfScGa2Pd4
_symmetry_space_group_name_H-M 'P 1'
_symmetry_Int_Tables_number 1
_cell_length_a 4.313
_cell_length_b 4.313
_cell_length_c 8.589
_cell_angle_alpha 90.00
_cell_angle_beta 90.00
_cell_angle_gamma 120.00
loop_
_symmetry_equiv_pos_as_xyz
'x,y,z'
loop_
_atom_site_label
_atom_site_fract_x
_atom_site_fract_y
_atom_site_fract_z
Pd1 0.667 0.333 0.161
Hf1 0.000 0.000 0.000
Ga1 0.333 0.667 0.259
Pd2 0.667 0.333 0.839
Sc1 0.667 0.333 0.500
Ga2 0.333 0.667 0.741
Pd3 0.000 0.000 0.667
Pd4 0.000 0.000 0.333
# Space group: No. 187
# E_tot: -6.175 eV/atom